[1]
# PBEsol AgTeP2, optimized geometry
# Calculated total energy   -4.004 eV/atom
# Magnetic moment   0.00 μB per formula unit
# Formation energy from raw total energies   0.601 eV per atom
# Volume   73.6 Å³/f.u.
# DOS(E_F)   1.86 states/eV/cell
data_AgTeP2
_chemical_formula_sum 'Ag1 Te1 P2'
_symmetry_space_group_name_H-M 'P 1'
_symmetry_Int_Tables_number 1
_symmetry_space_group_name_Hall 'P 1'
_cell_length_a 4.704
_cell_length_b 4.704
_cell_length_c 4.704
_cell_angle_alpha 60.00
_cell_angle_beta 60.00
_cell_angle_gamma 60.00
loop_
_atom_site_label
_atom_site_type_symbol
_atom_site_fract_x
_atom_site_fract_y
_atom_site_fract_z
Ag1 Ag 0.500 0.500 0.500
P1 P 0.000 0.000 0.000
P2 P 0.750 0.750 0.750
Te1 Te 0.250 0.250 0.250

***

[2]
# PBEsol AgTe2P, optimized geometry
# Calculated total energy   -3.637 eV/atom
# Magnetic moment   0.00 μB per formula unit
# Formation energy from raw total energies   0.402 eV per atom
# Volume   95.2 Å³/f.u.
# DOS(E_F)   2.65 states/eV/cell
data_AgTe2P
_chemical_formula_sum 'Ag1 Te2 P1'
_symmetry_space_group_name_H-M 'P 1'
_symmetry_Int_Tables_number 1
_symmetry_space_group_name_Hall 'P 1'
_cell_length_a 3.888
_cell_length_b 5.372
_cell_length_c 5.372
_cell_angle_alpha 93.40
_cell_angle_beta 68.78
_cell_angle_gamma 68.78
loop_
_atom_site_label
_atom_site_type_symbol
_atom_site_fract_x
_atom_site_fract_y
_atom_site_fract_z
Ag1 Ag 0.500 0.000 0.000
P1 P 0.500 0.500 0.500
Te1 Te 0.000 0.266 0.734
Te2 Te 0.000 0.734 0.266

***

[3]
# PBEsol AgTeP, optimized geometry
# Calculated total energy   -3.757 eV/atom
# Polymorph energy (0 for the lowest one)   0.214 eV/atom
# Magnetic moment   0.00 μB per formula unit
# Formation energy from raw total energies   0.453 eV per atom
# Volume   62.7 Å³/f.u.
# DOS(E_F)   1.58 states/eV/cell
data_AgTeP
_chemical_formula_sum 'Ag1 Te1 P1'
_symmetry_space_group_name_H-M 'P 1'
_symmetry_Int_Tables_number 1
_symmetry_space_group_name_Hall 'P 1'
_cell_length_a 3.034
_cell_length_b 3.034
_cell_length_c 7.143
_cell_angle_alpha 102.26
_cell_angle_beta 102.26
_cell_angle_gamma 90.00
loop_
_atom_site_label
_atom_site_type_symbol
_atom_site_fract_x
_atom_site_fract_y
_atom_site_fract_z
P1 P 0.363 0.363 0.725
Te1 Te 0.666 0.666 0.333
Ag1 Ag 0.971 0.971 0.942

***

[4]
# PBEsol TlAg2P, optimized geometry
# Calculated total energy   -3.499 eV/atom
# Polymorph energy (0 for the lowest one)   0.000 eV/atom
# Magnetic moment   0.00 μB per formula unit
# Volume   75.7 Å³/f.u.
# DOS(E_F)   1.67 states/eV/cell
# Calculated formation energy   0.26 eV per atom
data_TlAg2P
_chemical_formula_sum 'Tl1 Ag2 P1'
_symmetry_space_group_name_H-M 'P 1'
_symmetry_Int_Tables_number 1
_symmetry_space_group_name_Hall 'P 1'
_cell_length_a 3.536
_cell_length_b 3.536
_cell_length_c 6.057
_cell_angle_alpha 90.00
_cell_angle_beta 90.00
_cell_angle_gamma 90.00
loop_
_atom_site_label
_atom_site_type_symbol
_atom_site_fract_x
_atom_site_fract_y
_atom_site_fract_z
Ag1 Ag 0.000 0.000 0.027
Ag2 Ag 0.500 0.500 0.279
P1 P 0.000 0.000 0.440
Tl1 Tl 0.500 0.500 0.753

***

[5]
# PBEsol TlAg2P, optimized geometry
# Calculated total energy   -3.427 eV/atom
# Polymorph energy (0 for the lowest one)   0.073 eV/atom
# Magnetic moment   0.00 μB per formula unit
# Volume   74.4 Å³/f.u.
# DOS(E_F)   1.15 states/eV/cell
# Calculated formation energy   0.33 eV per atom
data_TlAg2P
_chemical_formula_sum 'Tl1 Ag2 P1'
_symmetry_space_group_name_H-M 'P 1'
_symmetry_Int_Tables_number 1
_symmetry_space_group_name_Hall 'P 1'
_cell_length_a 2.965
_cell_length_b 5.109
_cell_length_c 5.109
_cell_angle_alpha 105.92
_cell_angle_beta 90.00
_cell_angle_gamma 90.00
loop_
_atom_site_label
_atom_site_type_symbol
_atom_site_fract_x
_atom_site_fract_y
_atom_site_fract_z
Ag1 Ag 0.000 0.500 0.000
Ag2 Ag 0.000 0.000 0.500
P1 P 0.500 0.000 0.000
Tl1 Tl 0.500 0.500 0.500

***

[6]
# PBEsol TlAg2P, optimized geometry
# Calculated total energy   -3.468 eV/atom
# Polymorph energy (0 for the lowest one)   0.032 eV/atom
# Magnetic moment   0.00 μB per formula unit
# Volume   73.9 Å³/f.u.
# DOS(E_F)   1.13 states/eV/cell
# Calculated formation energy   0.29 eV per atom
data_TlAg2P
_chemical_formula_sum 'Tl1 Ag2 P1'
_symmetry_space_group_name_H-M 'P 1'
_symmetry_Int_Tables_number 1
_symmetry_space_group_name_Hall 'P 1'
_cell_length_a 4.133
_cell_length_b 4.133
_cell_length_c 5.222
_cell_angle_alpha 113.31
_cell_angle_beta 113.31
_cell_angle_gamma 90.00
loop_
_atom_site_label
_atom_site_type_symbol
_atom_site_fract_x
_atom_site_fract_y
_atom_site_fract_z
Ag1 Ag 0.000 0.000 0.000
Ag2 Ag 0.750 0.250 0.500
P1 P 0.500 0.500 0.000
Tl1 Tl 0.250 0.750 0.500

***

[7]
# PBEsol TlAg4P, optimized geometry
# Calculated total energy   -3.310 eV/atom
# Magnetic moment   0.00 μB per formula unit
# Volume   113.0 Å³/f.u.
# DOS(E_F)   2.06 states/eV/cell
# Calculated formation energy   0.30 eV per atom
data_TlAg4P
_chemical_formula_sum 'Tl1 Ag4 P1'
_symmetry_space_group_name_H-M 'P 1'
_symmetry_Int_Tables_number 1
_symmetry_space_group_name_Hall 'P 1'
_cell_length_a 5.427
_cell_length_b 5.427
_cell_length_c 5.427
_cell_angle_alpha 60.00
_cell_angle_beta 60.00
_cell_angle_gamma 60.00
loop_
_atom_site_label
_atom_site_type_symbol
_atom_site_fract_x
_atom_site_fract_y
_atom_site_fract_z
Ag1 Ag 0.375 0.375 0.375
Ag2 Ag 0.375 0.375 0.874
Ag3 Ag 0.874 0.375 0.375
Ag4 Ag 0.375 0.874 0.375
P1 P 0.750 0.750 0.750
Tl1 Tl 0.000 0.000 0.000

***

[8]
# PBEsol TlAg2P, optimized geometry
# Calculated total energy   -3.451 eV/atom
# Polymorph energy (0 for the lowest one)   0.048 eV/atom
# Magnetic moment   0.00 μB per formula unit
# Volume   75.2 Å³/f.u.
# DOS(E_F)   1.36 states/eV/cell
# Calculated formation energy   0.31 eV per atom
data_TlAg2P
_chemical_formula_sum 'Tl1 Ag2 P1'
_symmetry_space_group_name_H-M 'P 1'
_symmetry_Int_Tables_number 1
_symmetry_space_group_name_Hall 'P 1'
_cell_length_a 4.737
_cell_length_b 4.737
_cell_length_c 4.737
_cell_angle_alpha 60.00
_cell_angle_beta 60.00
_cell_angle_gamma 60.00
loop_
_atom_site_label
_atom_site_type_symbol
_atom_site_fract_x
_atom_site_fract_y
_atom_site_fract_z
Ag1 Ag 0.250 0.250 0.250
Ag2 Ag 0.750 0.750 0.750
P1 P 0.000 0.000 0.000
Tl1 Tl 0.500 0.500 0.500

***

[9]
# PBEsol TlAgP2, optimized geometry
# Calculated total energy   -4.229 eV/atom
# Magnetic moment   0.00 μB per formula unit
# Volume   75.4 Å³/f.u.
# DOS(E_F)   1.69 states/eV/cell
# Calculated formation energy   0.15 eV per atom
data_TlAgP2
_chemical_formula_sum 'Tl1 Ag1 P2'
_symmetry_space_group_name_H-M 'P 1'
_symmetry_Int_Tables_number 1
_symmetry_space_group_name_Hall 'P 1'
_cell_length_a 3.385
_cell_length_b 3.385
_cell_length_c 7.841
_cell_angle_alpha 77.53
_cell_angle_beta 77.53
_cell_angle_gamma 60.00
loop_
_atom_site_label
_atom_site_type_symbol
_atom_site_fract_x
_atom_site_fract_y
_atom_site_fract_z
Ag1 Ag 0.262 0.262 0.215
P1 P 0.009 0.009 0.972
P2 P 0.731 0.731 0.807
Tl1 Tl 0.498 0.498 0.507

***

[10]
# PBEsol TlAgP3, optimized geometry
# Calculated total energy   -3.038 eV/atom
# Magnetic moment   0.00 μB per formula unit
# Volume   127.9 Å³/f.u.
# DOS(E_F)   5.74 states/eV/cell
# Calculated formation energy   1.62 eV per atom
data_TlAgP3
_chemical_formula_sum 'Tl1 Ag1 P3'
_symmetry_space_group_name_H-M 'P 1'
_symmetry_Int_Tables_number 1
_symmetry_space_group_name_Hall 'P 1'
_cell_length_a 5.039
_cell_length_b 5.039
_cell_length_c 5.039
_cell_angle_alpha 90.00
_cell_angle_beta 90.00
_cell_angle_gamma 90.00
loop_
_atom_site_label
_atom_site_type_symbol
_atom_site_fract_x
_atom_site_fract_y
_atom_site_fract_z
P1 P 0.000 0.500 0.000
P2 P 0.000 0.000 0.500
P3 P 0.500 0.000 0.000
Tl1 Tl 0.000 0.000 0.000
Ag1 Ag 0.500 0.500 0.500

***

[11]
# PBEsol TlAg2P, optimized geometry
# Calculated total energy   -3.394 eV/atom
# Polymorph energy (0 for the lowest one)   0.106 eV/atom
# Magnetic moment   0.00 μB per formula unit
# Volume   76.3 Å³/f.u.
# DOS(E_F)   1.56 states/eV/cell
# Calculated formation energy   0.37 eV per atom
data_TlAg2P
_chemical_formula_sum 'Tl1 Ag2 P1'
_symmetry_space_group_name_H-M 'P 1'
_symmetry_Int_Tables_number 1
_symmetry_space_group_name_Hall 'P 1'
_cell_length_a 2.941
_cell_length_b 5.650
_cell_length_c 5.591
_cell_angle_alpha 120.38
_cell_angle_beta 105.30
_cell_angle_gamma 89.91
loop_
_atom_site_label
_atom_site_type_symbol
_atom_site_fract_x
_atom_site_fract_y
_atom_site_fract_z
Ag1 Ag 0.000 0.000 0.500
Ag2 Ag 0.500 0.500 0.500
P1 P 0.500 0.000 0.000
Tl1 Tl 0.000 0.500 0.000

***

[12]
# PBEsol AgP4W, optimized geometry
# Calculated total energy   -5.913 eV/atom
# Magnetic moment   0.00 μB per formula unit
# Volume   85.6 Å³/f.u.
# DOS(E_F)   3.03 states/eV/cell
# Calculated formation energy   0.80 eV per atom
data_AgP4W
_chemical_formula_sum 'Ag1 P4 W1'
_symmetry_space_group_name_H-M 'P 1'
_symmetry_Int_Tables_number 1
_symmetry_space_group_name_Hall 'P 1'
_cell_length_a 4.946
_cell_length_b 4.946
_cell_length_c 4.946
_cell_angle_alpha 60.00
_cell_angle_beta 60.00
_cell_angle_gamma 60.00
loop_
_atom_site_label
_atom_site_type_symbol
_atom_site_fract_x
_atom_site_fract_y
_atom_site_fract_z
Ag1 Ag 0.000 0.000 0.000
P1 P 0.377 0.377 0.377
P2 P 0.377 0.377 0.870
P3 P 0.870 0.377 0.377
P4 P 0.377 0.870 0.377
W1 W 0.750 0.750 0.750

***

[13]
# PBEsol AgPW, optimized geometry
# Calculated total energy   -7.264 eV/atom
# Polymorph energy (0 for the lowest one)   0.000 eV/atom
# Magnetic moment   0.00 μB per formula unit
# Volume   47.6 Å³/f.u.
# DOS(E_F)   2.46 states/eV/cell
# Calculated formation energy   0.37 eV per atom
data_AgPW
_chemical_formula_sum 'Ag1 P1 W1'
_symmetry_space_group_name_H-M 'P 1'
_symmetry_Int_Tables_number 1
_symmetry_space_group_name_Hall 'P 1'
_cell_length_a 3.307
_cell_length_b 4.078
_cell_length_c 4.078
_cell_angle_alpha 120.00
_cell_angle_beta 90.00
_cell_angle_gamma 90.00
loop_
_atom_site_label
_atom_site_type_symbol
_atom_site_fract_x
_atom_site_fract_y
_atom_site_fract_z
Ag1 Ag 0.000 0.000 0.000
P1 P 0.500 0.667 0.333
W1 W 0.500 0.333 0.667

***

[14]
# PBEsol AgPW, optimized geometry
# Calculated total energy   -7.207 eV/atom
# Polymorph energy (0 for the lowest one)   0.056 eV/atom
# Magnetic moment   0.00 μB per formula unit
# Volume   47.5 Å³/f.u.
# DOS(E_F)   1.82 states/eV/cell
# Calculated formation energy   0.43 eV per atom
data_AgPW
_chemical_formula_sum 'Ag1 P1 W1'
_symmetry_space_group_name_H-M 'P 1'
_symmetry_Int_Tables_number 1
_symmetry_space_group_name_Hall 'P 1'
_cell_length_a 4.066
_cell_length_b 4.066
_cell_length_c 4.066
_cell_angle_alpha 60.00
_cell_angle_beta 60.00
_cell_angle_gamma 60.00
loop_
_atom_site_label
_atom_site_type_symbol
_atom_site_fract_x
_atom_site_fract_y
_atom_site_fract_z
Ag1 Ag 0.500 0.500 0.500
P1 P 0.250 0.250 0.250
W1 W 0.000 0.000 0.000